Material: FeBIO2
Method: DFT, PBE+U
State: optimized geometry

Values from the calculation:
As for the space group: P4/mmm (123). The density is 5.65 Mg/m³. For the offset from the most stable computed form, the calculation gives 23 meV/atom. Its total energy is -21.8 eV for the cell shown.

```
FeBIO2
1.0
3.6402 0.0000 0.0000
0.0000 3.6402 0.0000
0.0000 0.0000 5.0070
I B Fe O
1 1 1 2
direct
0.0000 0.0000 0.5000 I
0.0000 0.0000 0.0000 B
0.5000 0.5000 0.5000 Fe
0.0000 0.5000 0.0000 O
0.5000 0.0000 0.0000 O
```